Compound: TiCd
Source: Alexandria
Functional: GGA-PBE
Structure: optimized geometry

Structure (CIF):
```
data_TiCd
_cell_length_a 10.367
_cell_length_b 3.049
_cell_length_c 5.133
_cell_angle_alpha 90.00
_cell_angle_beta 110.83
_cell_angle_gamma 90.00
_space_group_name_H-M_alt 'C 1 2/m 1'
_space_group_IT_number 12
loop_
_space_group_symop_operation_xyz
'x,y,z'
'-x,-y,-z'
'-x,y,-z'
'x,-y,z'
'x+1/2,y+1/2,z'
'-x+1/2,-y+1/2,-z'
'-x+1/2,y+1/2,-z'
'x+1/2,-y+1/2,z'
loop_
_atom_site_label
_atom_site_type_symbol
_atom_site_fract_x
_atom_site_fract_y
_atom_site_fract_z
Ti1 Ti 0.132 0.000 0.432
Cd1 Cd 0.123 0.500 0.920
```

Energy of formation   0.04 eV/atom
Crystal system   monoclinic

***

Compound: TiCd
Source: Alexandria
Functional: GGA-PBE
Structure: optimized geometry

Structure (CIF):
```
data_TiCd
_cell_length_a 5.591
_cell_length_b 5.591
_cell_length_c 5.591
_cell_angle_alpha 90.00
_cell_angle_beta 90.00
_cell_angle_gamma 90.00
_space_group_name_H-M_alt 'F m -3 m'
_space_group_IT_number 225
_space_group_name_Hall '-F 4 2 3'
loop_
_atom_site_label
_atom_site_type_symbol
_atom_site_fract_x
_atom_site_fract_y
_atom_site_fract_z
Ti1 Ti 0.000 0.000 0.000
Cd1 Cd 0.000 0.000 0.500
```

Energy of formation   0.63 eV/atom
Crystal system   cubic

***

Compound: Ti3Cd
Source: Alexandria
Functional: GGA-PBE
Structure: optimized geometry

Structure (CIF):
```
data_Ti3Cd
_cell_length_a 2.829
_cell_length_b 4.842
_cell_length_c 5.308
_cell_angle_alpha 90.00
_cell_angle_beta 90.00
_cell_angle_gamma 90.00
_space_group_name_H-M_alt 'P m m 2'
_space_group_IT_number 25
loop_
_space_group_symop_operation_xyz
'x,y,z'
'-x,-y,z'
'-x,y,z'
'x,-y,z'
loop_
_atom_site_label
_atom_site_type_symbol
_atom_site_fract_x
_atom_site_fract_y
_atom_site_fract_z
Ti1 Ti 0.000 0.000 0.000
Ti2 Ti 0.000 0.500 0.283
Ti3 Ti 0.500 0.000 0.448
Cd1 Cd 0.500 0.500 0.777
```

Energy of formation   0.07 eV/atom
Crystal system   orthorhombic

***

Compound: TiCd
Source: Alexandria
Functional: GGA-PBE
Structure: optimized geometry

Structure (CIF):
```
data_TiCd
_cell_length_a 2.982
_cell_length_b 2.982
_cell_length_c 4.237
_cell_angle_alpha 90.00
_cell_angle_beta 90.00
_cell_angle_gamma 90.00
_space_group_name_H-M_alt 'P 4/m m m'
_space_group_IT_number 123
_space_group_name_Hall '-P 4 2'
loop_
_atom_site_label
_atom_site_type_symbol
_atom_site_fract_x
_atom_site_fract_y
_atom_site_fract_z
Ti1 Ti 0.000 0.000 0.000
Cd1 Cd 0.500 0.500 0.500
```

Energy of formation   0.04 eV/atom
Crystal system   tetragonal

***

Compound: TiCd3
Source: Alexandria
Functional: GGA-PBE
Structure: optimized geometry

Structure (CIF):
```
data_TiCd3
_cell_length_a 6.1845
_cell_length_b 6.1845
_cell_length_c 4.8201
_cell_angle_alpha 90.00
_cell_angle_beta 90.00
_cell_angle_gamma 120.00
_space_group_name_H-M_alt 'P 63/m m c'
_space_group_IT_number 194
_space_group_name_Hall '-P 6c 2c'
loop_
_atom_site_label
_atom_site_type_symbol
_atom_site_fract_x
_atom_site_fract_y
_atom_site_fract_z
Ti1 Ti 0.3333 0.6667 0.2500
Cd1 Cd 0.1697 0.3393 0.7500
```

Energy of formation   0.04 eV/atom
Crystal system   hexagonal

***

Compound: Ti2Cd5
Source: Alexandria
Functional: GGA-PBE
Structure: optimized geometry

Structure (CIF):
```
data_Ti2Cd5
_cell_length_a 3.326
_cell_length_b 3.326
_cell_length_c 26.012
_cell_angle_alpha 90.00
_cell_angle_beta 90.00
_cell_angle_gamma 90.00
_space_group_name_H-M_alt 'I 4/m m m'
_space_group_IT_number 139
_space_group_name_Hall '-I 4 2'
loop_
_atom_site_label
_atom_site_type_symbol
_atom_site_fract_x
_atom_site_fract_y
_atom_site_fract_z
Ti1 Ti 0.000 0.000 0.222
Cd1 Cd 0.000 0.000 0.079
Cd2 Cd 0.000 0.000 0.345
Cd3 Cd 0.000 0.000 0.500
```

Energy of formation   0.02 eV/atom
Crystal system   tetragonal